TbPuHg4 PBE optimized geometry; crystal system = cubic; energy of formation from the pure elements = -0.0951 eV/atom; SG = F-43m (216); electronic total energy = -3.46 eV/atom
1.0
-4.0661 -4.1047 1.5348
-2.8499 -3.1131 -4.2336
1.1889 -5.8106 -0.7482
Tb Hg Pu
1 4 1
direct
0.0000 0.0000 0.0000
0.6251 0.6251 0.1247
0.6251 0.1247 0.6251
0.6251 0.6251 0.6251
0.1247 0.6251 0.6251
0.2500 0.2500 0.2500